# MgTi2GaH | the Alexandria database | PBE | optimized geometry
# energy	-0.369	Ry per atom
# N(E_F)	0.644	states/eV per atom
data_MgTi2GaH
_chemical_formula_sum 'Mg1 Ti2 Ga1 H1'
_space_group_name_H-M_alt 'P 4/m m m'
_space_group_IT_number 123
_space_group_name_Hall '-P 4 2'
_cell_length_a 3.9989
_cell_length_b 3.9989
_cell_length_c 4.3135
_cell_angle_alpha 90.00
_cell_angle_beta 90.00
_cell_angle_gamma 90.00
loop_
_atom_site_label
_atom_site_type_symbol
_atom_site_fract_x
_atom_site_fract_y
_atom_site_fract_z
_atom_site_occupancy
Mg1 Mg 0.0000 0.0000 0.0000 1
Ti1 Ti 0.0000 0.5000 0.5000 1
Ga1 Ga 0.5000 0.5000 0.0000 1
H1 H 0.0000 0.0000 0.5000 1